1.
Entry from Alexandria: Y2MnBr after structural relaxation (PBE).

Cell lengths 7.4300, 7.4300, 7.4300 Å; angles 90.00, 90.00, 90.00 degrees
Last column: nearest neighbours and their distance in Å.
Space group F-43m (No. 216)
Unique sites:
Y 0.0000 0.0000 0.0000  4 Br 3.22, 4 Y 3.22
Y 0.2500 0.2500 0.2500  4 Mn 3.22, 4 Y 3.22
Mn 0.0000 0.0000 0.5000  4 Y 3.22, 4 Br 3.22
Br 0.2500 0.2500 0.7500  4 Mn 3.22, 4 Y 3.22

Properties
The uncorrected formation energy is 0.411 eV per atom. The total energy is -5.53 eV/atom. Its volume is 410 Å³ per cell. The value obtained for the relative energy among the computed polymorphs is 828.3 meV per atom.

=====

2.
Entry from Alexandria: AlVSn2Cl after structural relaxation (PBE).

Cell lengths 5.2122, 5.2122, 5.0258 Å; angles 90.00, 90.00, 90.00 degrees
Last column: nearest neighbours and their distance in Å.
Space group P4/mmm (No. 123)
Unique sites:
Al 0.0000 0.0000 0.0000  2 V 2.51
V 0.0000 0.0000 0.5000  2 Al 2.51, 4 Sn 2.61
Sn 0.0000 0.5000 0.5000  2 V 2.61
Cl 0.5000 0.5000 0.0000  8 Sn 3.62, 4 Al 3.69

Properties
The uncorrected formation energy is 0.240 eV per atom. The total energy is -4.30 eV/atom. Its volume is 137 Å³ per cell.

=====

3.
Entry from Alexandria: LiHo2Co after structural relaxation (PBE).

Cell lengths 6.8350, 6.8350, 6.8350 Å; angles 90.00, 90.00, 90.00 degrees
Last column: nearest neighbours and their distance in Å.
Space group Fm-3m (No. 225)
Unique sites:
Li 0.0000 0.0000 0.0000  8 Ho 2.96
Ho 0.2500 0.2500 0.2500  4 Li 2.96, 4 Co 2.96
Co 0.0000 0.0000 0.5000  8 Ho 2.96

Properties
The value obtained for the formation energy from the elements is -0.09 eV/atom. The total energy is -4.63 eV/atom. Its volume is 319 Å³ per cell. The value obtained for the relative energy among the computed polymorphs is 0.0 meV per atom.

=====

4.
Entry from Alexandria: LaHo3Al after structural relaxation (PBE).

Cell lengths 9.4202, 5.4267, 11.6388 Å; angles 90.00, 91.47, 90.00 degrees
Last column: nearest neighbours and their distance in Å.
Space group P2_1/c (No. 14)
Unique sites:
La 0.1707 0.0006 0.4502  9 Ho 3.45-3.81, 1 La 3.45, 2 Al 3.49-3.50
Ho 0.1117 0.9995 0.7729  1 Al 3.12, 4 Ho 3.39-3.47, 2 La 3.45
Ho 0.2449 0.0004 0.1387  1 Al 3.03, 2 Ho 3.39
Ho 0.4700 0.5011 0.1519  3 Al 3.08-3.13, 2 Ho 3.44-3.45
Al 0.3987 0.5012 0.4133  1 Al 2.74, 1 Ho 3.03

Properties
The value obtained for the formation energy from the elements is -0.08 eV/atom. The total energy is -4.56 eV/atom. Its volume is 595 Å³ per cell.

=====

5.
Entry from Alexandria: ErNi10B2 after structural relaxation (PBE).

Cell lengths 4.5780, 10.8501, 11.5050 Å; angles 90.00, 90.00, 90.00 degrees
Last column: nearest neighbours and their distance in Å.
Space group Fmmm (No. 69)
Unique sites:
Er 0.0000 0.0000 0.0000  16 Ni 2.72-2.94
Ni 0.0000 0.1067 0.3765  2 B 2.18, 4 Ni 2.32-2.40
Ni 0.0000 0.1632 0.1798  2 B 2.26, 4 Ni 2.34-2.48
Ni 0.2500 0.2500 0.0000  10 Ni 2.29-2.54
B 0.2500 0.0000 0.2500  8 Ni 2.18-2.26, 2 B 2.29

Properties
The value obtained for the formation energy from the elements is -0.17 eV/atom. The total energy is -6.00 eV/atom. Its volume is 571 Å³ per cell.

=====

6.
Entry from Alexandria: CaMn2Ni2 after structural relaxation (PBE).

Cell lengths 7.3666, 7.3666, 2.8432 Å; angles 90.00, 90.00, 90.00 degrees
Last column: nearest neighbours and their distance in Å.
Space group P4/mbm (No. 127)
Unique sites:
Ca 0.0000 0.0000 0.0000  4 Ni 2.82, 2 Ca 2.84
Mn 0.1401 0.3599 0.5000  6 Ni 2.55-2.63, 2 Mn 2.84
Ni 0.1474 0.6474 0.0000  6 Mn 2.55-2.63, 2 Ca 2.82, 2 Ni 2.84

Properties
The value obtained for the formation energy from the elements is 0.11 eV/atom. The total energy is -6.27 eV/atom. Its volume is 154 Å³ per cell. The value obtained for the relative energy among the computed polymorphs is 0.0 meV per atom.